## Nd2Y2CCl5 (PBE)

Data for a geometry-optimized Nd2Y2CCl5 structure.

Results
Total DFT energy (no corrections) ... -5.79 eV per atom
Symmetry ... No. 12
Energy relative to the lowest polymorph listed for this composition ... 0.004 eV/atom

Lattice parameters (Å, degrees): 8.906 8.906 7.843 104.23 104.23 24.41
Element x y z (fractional)
1 Nd 0.149 0.149 0.086
2 Nd 0.851 0.851 0.914
3 Y 0.499 0.499 0.211
4 Y 0.501 0.501 0.789
5 C 0.000 0.000 0.000
6 Cl 0.000 0.000 0.500
7 Cl 0.334 0.334 0.178
8 Cl 0.340 0.340 0.642
9 Cl 0.660 0.660 0.358
10 Cl 0.666 0.666 0.822

***

## Cu7Ag3 (PBE)

Data for a geometry-optimized Cu7Ag3 structure.

Results
Total DFT energy (no corrections) ... -3.37 eV per atom
Symmetry ... No. 8
Energy relative to the lowest polymorph listed for this composition ... 0.037 eV/atom

Lattice parameters (Å, degrees): 5.594 5.594 9.166 97.34 97.34 28.71
Element x y z (fractional)
1 Cu 0.000 0.000 0.000
2 Cu 0.197 0.197 0.612
3 Cu 0.383 0.383 0.177
4 Cu 0.508 0.508 0.529
5 Cu 0.584 0.584 0.802
6 Cu 0.687 0.687 0.100
7 Cu 0.898 0.898 0.698
8 Ag 0.079 0.079 0.304
9 Ag 0.292 0.292 0.897
10 Ag 0.807 0.807 0.403

***

## GdYHg2 (PBE)

Data for a geometry-optimized GdYHg2 structure.

Results
Total DFT energy (no corrections) ... -3.42 eV per atom
Symmetry ... No. 63
Energy relative to the lowest polymorph listed for this composition ... 0.001 eV/atom

Lattice parameters (Å, degrees): 6.468 6.468 5.293 90.00 90.00 110.76
Element x y z (fractional)
1 Gd 0.131 0.869 0.750
2 Gd 0.869 0.131 0.250
3 Y 0.372 0.628 0.250
4 Y 0.628 0.372 0.750
5 Hg 0.132 0.368 0.750
6 Hg 0.368 0.132 0.250
7 Hg 0.632 0.868 0.750
8 Hg 0.868 0.632 0.250

***

## ScNbPO (PBE)

Data for a geometry-optimized ScNbPO structure.

Results
Total DFT energy (no corrections) ... -7.80 eV per atom
Symmetry ... No. 129
Energy relative to the lowest polymorph listed for this composition ... 0.689 eV/atom

Lattice parameters (Å, degrees): 3.630 3.630 8.475 90.00 90.00 90.00
Element x y z (fractional)
1 Sc 0.250 0.750 0.000
2 Sc 0.750 0.250 0.000
3 Nb 0.250 0.250 0.349
4 Nb 0.750 0.750 0.651
5 P 0.250 0.250 0.775
6 P 0.750 0.750 0.225
7 O 0.250 0.750 0.500
8 O 0.750 0.250 0.500

***

## Cs2PdO3 (PBE)

Data for a geometry-optimized Cs2PdO3 structure.

Results
Total DFT energy (no corrections) ... -4.42 eV per atom
Symmetry ... No. 63

Lattice parameters (Å, degrees): 6.572 6.572 6.015 90.00 90.00 69.27
Element x y z (fractional)
1 Cs 0.026 0.308 0.250
2 Cs 0.308 0.026 0.750
3 Cs 0.692 0.974 0.250
4 Cs 0.974 0.692 0.750
5 Pd 0.461 0.539 0.250
6 Pd 0.539 0.461 0.750
7 O 0.194 0.806 0.250
8 O 0.378 0.378 0.000
9 O 0.378 0.378 0.500
10 O 0.622 0.622 0.000
11 O 0.622 0.622 0.500
12 O 0.806 0.194 0.750

***

## LiCu4 (PBE)

Data for a geometry-optimized LiCu4 structure.

Results
Total DFT energy (no corrections) ... -3.39 eV per atom
Symmetry ... No. 2

Lattice parameters (Å, degrees): 5.719 5.722 5.729 90.00 107.47 95.62
Element x y z (fractional)
1 Li 0.000 0.000 0.000
2 Li 0.330 0.536 0.602
3 Li 0.670 0.464 0.398
4 Cu 0.001 0.199 0.595
5 Cu 0.005 0.404 0.200
6 Cu 0.332 0.128 0.402
7 Cu 0.332 0.333 0.002
8 Cu 0.332 0.733 0.194
9 Cu 0.337 0.936 0.799
10 Cu 0.663 0.064 0.201
11 Cu 0.668 0.267 0.806
12 Cu 0.668 0.667 0.998
13 Cu 0.668 0.872 0.598
14 Cu 0.995 0.596 0.800
15 Cu 0.999 0.801 0.405

***

## SmDy2Cu4Ge4 (PBE)

Data for a geometry-optimized SmDy2Cu4Ge4 structure.

Results
Total DFT energy (no corrections) ... -4.93 eV per atom
Symmetry ... No. 71

Lattice parameters (Å, degrees): 8.037 8.037 8.037 149.62 130.78 58.94
Element x y z (fractional)
1 Sm 0.000 0.000 0.000
2 Dy 0.370 0.870 0.500
3 Dy 0.630 0.130 0.500
4 Cu 0.021 0.331 0.690
5 Cu 0.359 0.669 0.690
6 Cu 0.641 0.331 0.310
7 Cu 0.979 0.669 0.310
8 Ge 0.217 0.217 0.000
9 Ge 0.310 0.500 0.810
10 Ge 0.690 0.500 0.190
11 Ge 0.783 0.783 0.000

***

## NdSi2NiIr (PBE)

Data for a geometry-optimized NdSi2NiIr structure.

Results
Total DFT energy (no corrections) ... -6.90 eV per atom
Symmetry ... No. 119

Lattice parameters (Å, degrees): 5.798 5.798 5.798 138.99 138.99 59.39
Element x y z (fractional)
1 Nd 0.000 0.000 0.000
2 Si 0.376 0.376 0.000
3 Si 0.624 0.624 0.000
4 Ni 0.250 0.750 0.500
5 Ir 0.750 0.250 0.500

***

## DyCuGeSeS2 (PBE)

Data for a geometry-optimized DyCuGeSeS2 structure.

Results
Total DFT energy (no corrections) ... -5.00 eV per atom
Symmetry ... No. 63

Lattice parameters (Å, degrees): 6.602 6.602 10.500 90.00 90.00 146.43
Element x y z (fractional)
1 Dy 0.000 0.000 0.000
2 Dy 0.000 0.000 0.500
3 Cu 0.471 0.529 0.750
4 Cu 0.529 0.471 0.250
5 Ge 0.217 0.783 0.250
6 Ge 0.783 0.217 0.750
7 Se 0.098 0.902 0.750
8 Se 0.902 0.098 0.250
9 S 0.359 0.641 0.576
10 S 0.359 0.641 0.924
11 S 0.641 0.359 0.076
12 S 0.641 0.359 0.424

***

## NdDySi2 (PBE)

Data for a geometry-optimized NdDySi2 structure.

Results
Total DFT energy (no corrections) ... -5.85 eV per atom
Symmetry ... No. 31
Energy relative to the lowest polymorph listed for this composition ... 0.000 eV/atom

Lattice parameters (Å, degrees): 3.888 8.092 5.810 90.00 90.00 90.00
Element x y z (fractional)
1 Nd 0.000 0.072 0.000
2 Nd 0.500 0.928 0.500
3 Dy 0.000 0.569 0.729
4 Dy 0.500 0.431 0.229
5 Si 0.000 0.222 0.487
6 Si 0.000 0.705 0.238
7 Si 0.500 0.295 0.738
8 Si 0.500 0.778 0.987

***

## TlIr2Pd (PBE)

Data for a geometry-optimized TlIr2Pd structure.

Results
Total DFT energy (no corrections) ... -5.86 eV per atom
Symmetry ... No. 216

Lattice parameters (Å, degrees): 4.552 4.552 4.552 60.00 60.00 60.00
Element x y z (fractional)
1 Tl 0.000 0.000 0.000
2 Ir 0.500 0.500 0.500
3 Ir 0.750 0.750 0.750
4 Pd 0.250 0.250 0.250

***

## Sc2Tl3W4C3 (PBE)

Data for a geometry-optimized Sc2Tl3W4C3 structure.

Results
Total DFT energy (no corrections) ... -8.31 eV per atom
Symmetry ... No. 15

Lattice parameters (Å, degrees): 5.606 5.606 14.511 101.43 101.43 60.37
Element x y z (fractional)
1 Sc 0.033 0.873 0.593
2 Sc 0.127 0.967 0.907
3 Sc 0.873 0.033 0.093
4 Sc 0.967 0.127 0.407
5 Tl 0.085 0.276 0.753
6 Tl 0.276 0.085 0.253
7 Tl 0.444 0.556 0.750
8 Tl 0.556 0.444 0.250
9 Tl 0.724 0.915 0.747
10 Tl 0.915 0.724 0.247
11 W 0.193 0.348 0.072
12 W 0.299 0.484 0.428
13 W 0.348 0.193 0.572
14 W 0.484 0.299 0.928
15 W 0.516 0.701 0.072
16 W 0.652 0.807 0.428
17 W 0.701 0.516 0.572
18 W 0.807 0.652 0.928
19 C 0.000 0.500 0.500
20 C 0.169 0.662 0.000
21 C 0.338 0.831 0.500
22 C 0.500 0.000 0.000
23 C 0.662 0.169 0.500
24 C 0.831 0.338 0.000

***

## FeTcMoPb (PBE)

Data for a geometry-optimized FeTcMoPb structure.

Results
Total DFT energy (no corrections) ... -7.75 eV per atom
Symmetry ... No. 216
Energy relative to the lowest polymorph listed for this composition ... 0.000 eV/atom

Lattice parameters (Å, degrees): 4.513 4.513 4.513 60.00 60.00 60.00
Element x y z (fractional)
1 Fe 0.000 0.000 0.000
2 Tc 0.500 0.500 0.500
3 Mo 0.250 0.250 0.250
4 Pb 0.750 0.750 0.750

***

## AlBH6Pd (PBE)

Data for a geometry-optimized AlBH6Pd structure.

Results
Total DFT energy (no corrections) ... -3.22 eV per atom
Symmetry ... No. 216

Lattice parameters (Å, degrees): 4.436 4.436 4.436 60.00 60.00 60.00
Element x y z (fractional)
1 Al 0.000 0.000 0.000
2 B 0.500 0.500 0.500
3 H 0.038 0.038 0.462
4 H 0.038 0.462 0.038
5 H 0.038 0.462 0.462
6 H 0.462 0.038 0.038
7 H 0.462 0.038 0.462
8 H 0.462 0.462 0.038
9 Pd 0.750 0.750 0.750

***

## LaHoPt (PBE)

Data for a geometry-optimized LaHoPt structure.

Results
Total DFT energy (no corrections) ... -5.40 eV per atom
Symmetry ... No. 216

Lattice parameters (Å, degrees): 4.804 4.804 4.804 60.00 60.00 60.00
Element x y z (fractional)
1 La 0.000 0.000 0.000
2 Ho 0.750 0.750 0.750
3 Pt 0.500 0.500 0.500

***

## TaPdPt (PBE)

Data for a geometry-optimized TaPdPt structure.

Results
Total DFT energy (no corrections) ... -7.75 eV per atom
Symmetry ... No. 216
Energy relative to the lowest polymorph listed for this composition ... 0.122 eV/atom

Lattice parameters (Å, degrees): 4.327 4.327 4.327 60.00 60.00 60.00
Element x y z (fractional)
1 Ta 0.000 0.000 0.000
2 Pd 0.500 0.500 0.500
3 Pt 0.750 0.750 0.750

***

## LuBeTlCu (PBE)

Data for a geometry-optimized LuBeTlCu structure.

Results
Total DFT energy (no corrections) ... -3.52 eV per atom
Symmetry ... No. 216
Energy relative to the lowest polymorph listed for this composition ... 0.000 eV/atom

Lattice parameters (Å, degrees): 4.619 4.619 4.619 60.00 60.00 60.00
Element x y z (fractional)
1 Lu 0.000 0.000 0.000
2 Be 0.250 0.250 0.250
3 Tl 0.500 0.500 0.500
4 Cu 0.750 0.750 0.750

***

## Y2Lu4Ge3N3 (PBE)

Data for a geometry-optimized Y2Lu4Ge3N3 structure.

Results
Total DFT energy (no corrections) ... -7.03 eV per atom
Symmetry ... No. 15

Lattice parameters (Å, degrees): 5.962 5.962 14.491 101.92 101.92 59.99
Element x y z (fractional)
1 Y 0.035 0.870 0.603
2 Y 0.130 0.965 0.897
3 Y 0.870 0.035 0.103
4 Y 0.965 0.130 0.397
5 Lu 0.196 0.359 0.089
6 Lu 0.300 0.474 0.411
7 Lu 0.359 0.196 0.589
8 Lu 0.474 0.300 0.911
9 Lu 0.526 0.700 0.089
10 Lu 0.641 0.804 0.411
11 Lu 0.700 0.526 0.589
12 Lu 0.804 0.641 0.911
13 Ge 0.081 0.305 0.751
14 Ge 0.305 0.081 0.251
15 Ge 0.476 0.524 0.750
16 Ge 0.524 0.476 0.250
17 Ge 0.695 0.919 0.749
18 Ge 0.919 0.695 0.249
19 N 0.000 0.500 0.500
20 N 0.170 0.660 0.000
21 N 0.340 0.830 0.500
22 N 0.500 0.000 0.000
23 N 0.660 0.170 0.500
24 N 0.830 0.340 0.000

***

## Tb2AlInPt4 (PBE)

Data for a geometry-optimized Tb2AlInPt4 structure.

Results
Total DFT energy (no corrections) ... -6.05 eV per atom
Symmetry ... No. 164

Lattice parameters (Å, degrees): 4.453 4.453 9.215 90.00 90.00 120.00
Element x y z (fractional)
1 Tb 0.333 0.667 0.246
2 Tb 0.667 0.333 0.754
3 Al 0.000 0.000 0.000
4 In 0.000 0.000 0.500
5 Pt 0.333 0.667 0.598
6 Pt 0.333 0.667 0.919
7 Pt 0.667 0.333 0.081
8 Pt 0.667 0.333 0.402